Record 1
Below is crystalline In3HgIr at its relaxed geometry, with properties calculated at the GGA-PBE level.

## Properties
Formation enthalpy at 0 K = 0.00 eV per atom
Energy above the most stable polymorph in this dataset = 138 meV/atom
Total energy = -69.46 eV/cell
M_tot = 0.00 μB/cell
ρ = 6.79 Mg/m³
Space group = Fd-3m (227)

Geometry as POSCAR:
```
In3HgIr
1.0
0.0000 7.1186 7.1186
7.1186 0.0000 7.1186
7.1186 7.1186 0.0000
In Hg Ir
12 4 4
direct
0.0483 0.0483 0.7017 In
0.0483 0.7017 0.0483 In
0.0483 0.7017 0.7017 In
0.2983 0.2983 0.9517 In
0.2983 0.9517 0.2983 In
0.2983 0.9517 0.9517 In
0.7017 0.0483 0.0483 In
0.7017 0.0483 0.7017 In
0.7017 0.7017 0.0483 In
0.9517 0.2983 0.2983 In
0.9517 0.2983 0.9517 In
0.9517 0.9517 0.2983 In
0.0000 0.5000 0.5000 Hg
0.5000 0.0000 0.5000 Hg
0.5000 0.5000 0.0000 Hg
0.5000 0.5000 0.5000 Hg
0.0000 0.0000 0.0000 Ir
0.0000 0.0000 0.5000 Ir
0.0000 0.5000 0.0000 Ir
0.5000 0.0000 0.0000 Ir
```


Record 2
Below is crystalline In2HgIr at its relaxed geometry, with properties calculated at the GGA-PBE level.

## Properties
Formation enthalpy at 0 K = 0.00 eV per atom
Total energy = -14.65 eV/cell
M_tot = 0.00 μB/cell
ρ = 11.92 Mg/m³
Space group = P2/m (10)

Geometry as POSCAR:
```
In2HgIr
1.0
3.1353 0.0000 0.0000
0.0000 3.1149 0.0000
-0.1260 0.0000 8.8814
In Hg Ir
2 1 1
direct
0.0089 0.0000 0.1990 In
0.9911 0.0000 0.8010 In
0.0000 0.5000 0.5000 Hg
0.5000 0.5000 0.0000 Ir
```


Record 3
Below is crystalline In2HgIr at its relaxed geometry, with properties calculated at the GGA-PBE level.

## Properties
Formation enthalpy at 0 K = 0.06 eV per atom
Total energy = -14.41 eV/cell
M_tot = 0.00 μB/cell
ρ = 11.98 Mg/m³
Space group = P4/mmm (123)

Geometry as POSCAR:
```
In2HgIr
1.0
3.1235 0.0000 0.0000
0.0000 3.1235 0.0000
0.0000 0.0000 8.8410
In Hg Ir
2 1 1
direct
0.0000 0.0000 0.2019 In
0.0000 0.0000 0.7981 In
0.5000 0.5000 0.5000 Hg
0.5000 0.5000 0.0000 Ir
```


Record 4
Below is crystalline In3HgIr at its relaxed geometry, with properties calculated at the GGA-PBE level.

## Properties
Formation enthalpy at 0 K = -0.07 eV per atom
Energy above the most stable polymorph in this dataset = 68 meV/atom
Total energy = -35.43 eV/cell
M_tot = 0.00 μB/cell
ρ = 9.76 Mg/m³
Space group = Cc (9)

Geometry as POSCAR:
```
In3HgIr
1.0
3.0383 -6.5167 0.0000
3.0383 6.5167 0.0000
-0.3854 0.0000 6.3345
In Hg Ir
6 2 2
direct
0.0039 0.9961 0.5000 In
0.2591 0.7586 0.0110 In
0.5132 0.5219 0.5192 In
0.5219 0.5132 0.0192 In
0.7586 0.2591 0.5110 In
0.9961 0.0039 0.0000 In
0.2583 0.7592 0.5110 Hg
0.7592 0.2583 0.0110 Hg
0.1323 0.3854 0.7602 Ir
0.3854 0.1323 0.2602 Ir
```


Record 5
Below is crystalline In2HgIr at its relaxed geometry, with properties calculated at the GGA-PBE level.

## Properties
Formation enthalpy at 0 K = 0.25 eV per atom
Total energy = -13.64 eV/cell
M_tot = 0.00 μB/cell
ρ = 12.04 Mg/m³
Space group = R3m (160)

Geometry as POSCAR:
```
In2HgIr
1.0
1.6033 0.9257 9.6417
-1.6033 0.9257 9.6417
0.0000 -1.8513 9.6417
In Hg Ir
2 1 1
direct
0.0000 0.0000 0.0000 In
0.2384 0.2384 0.2384 In
0.4792 0.4792 0.4792 Hg
0.7361 0.7361 0.7361 Ir
```


Record 6
Below is crystalline InHg2Ir at its relaxed geometry, with properties calculated at the GGA-PBE level.

## Properties
Formation enthalpy at 0 K = 0.45 eV per atom
Total energy = -10.40 eV/cell
M_tot = 0.00 μB/cell
ρ = 13.74 Mg/m³
Space group = Cmmm (65)

Geometry as POSCAR:
```
InHg2Ir
1.0
1.4674 -2.6955 0.0000
1.4674 2.6955 0.0000
0.0000 0.0000 10.8174
In Hg Ir
1 2 1
direct
0.0000 0.0000 0.0000 In
0.5000 0.5000 0.2782 Hg
0.5000 0.5000 0.7218 Hg
0.0000 0.0000 0.5000 Ir
```


Record 7
Below is crystalline In3HgIr at its relaxed geometry, with properties calculated at the GGA-PBE level.

## Properties
Formation enthalpy at 0 K = 0.03 eV per atom
Energy above the most stable polymorph in this dataset = 162 meV/atom
Total energy = -68.98 eV/cell
M_tot = 0.00 μB/cell
ρ = 10.32 Mg/m³
Space group = C2/c (15)

Geometry as POSCAR:
```
In3HgIr
1.0
6.3331 -6.3717 0.0000
6.3331 6.3717 0.0000
-1.4799 0.0000 5.8814
In Hg Ir
12 4 4
direct
0.0088 0.2387 0.0621 In
0.2387 0.0088 0.5621 In
0.2416 0.4835 0.4295 In
0.2571 0.4805 0.9334 In
0.4805 0.2571 0.4334 In
0.4835 0.2416 0.9295 In
0.5165 0.7584 0.0705 In
0.5195 0.7429 0.5666 In
0.7429 0.5195 0.0666 In
0.7584 0.5165 0.5705 In
0.7613 0.9912 0.4379 In
0.9912 0.7613 0.9379 In
0.0258 0.2618 0.5736 Hg
0.2618 0.0258 0.0736 Hg
0.7382 0.9742 0.9264 Hg
0.9742 0.7382 0.4264 Hg
0.2554 0.7446 0.2500 Ir
0.2552 0.7448 0.7500 Ir
0.7448 0.2552 0.2500 Ir
0.7446 0.2554 0.7500 Ir
```


Record 8
Below is crystalline InHgIr2 at its relaxed geometry, with properties calculated at the GGA-PBE level.

## Properties
Formation enthalpy at 0 K = 0.33 eV per atom
Energy above the most stable polymorph in this dataset = 53 meV/atom
Total energy = -19.44 eV/cell
M_tot = 0.00 μB/cell
ρ = 16.47 Mg/m³
Space group = R-3m (166)

Geometry as POSCAR:
```
InHgIr2
1.0
1.5216 0.8785 8.7971
-1.5216 0.8785 8.7971
0.0000 -1.7569 8.7971
In Hg Ir
1 1 2
direct
0.0000 0.0000 0.0000 In
0.5000 0.5000 0.5000 Hg
0.2528 0.2528 0.2528 Ir
0.7472 0.7472 0.7472 Ir
```